# BaPdSeO6, relaxed, DFT PBE
data_BaPdSeO6
_space_group_name_H-M_alt 'P 3 1 2'
_space_group_IT_number 149
_cell_length_a 5.1489
_cell_length_b 5.1489
_cell_length_c 5.8410
_cell_angle_alpha 90.00
_cell_angle_beta 90.00
_cell_angle_gamma 120.00
loop_
_space_group_symop_operation_xyz
'x,y,z'
'-y,x-y,z'
'-x+y,-x,z'
'-y,-x,-z'
'-x+y,y,-z'
'x,x-y,-z'
loop_
_atom_site_label
_atom_site_type_symbol
_atom_site_fract_x
_atom_site_fract_y
_atom_site_fract_z
Ba1 Ba 0.0000 0.0000 0.0000
Pd1 Pd 0.3333 0.6667 0.5000
Se1 Se 0.6667 0.3333 0.5000
O1 O 0.3909 0.0279 0.6821
# - E_tot: -50.691 eV per formula unit
# - Crystal system: trigonal
# - Energy relative to the elements, uncorrected: -1.15 eV/atom